Entry 1:
Here is a relaxed structure of PuClF from Alexandria via LeMat-Bulk. Energies are from PBE.

## Properties
The uncorrected formation energy is -660 kJ/mol of formula units. The offset from the most stable computed form is 14.4 kJ/mol of atoms. The symmetry is F-43m. As for the density of states at the Fermi level: 3.202 states/eV/atom.

```
PuClF
1.0
6.432 0.000 0.000
0.000 6.432 0.000
0.000 0.000 6.432
Pu Cl F
4 4 4
Cartesian
0.000 0.000 0.000 Pu
0.000 3.216 3.216 Pu
3.216 0.000 3.216 Pu
3.216 3.216 0.000 Pu
1.608 1.608 4.824 Cl
1.608 4.824 1.608 Cl
4.824 1.608 1.608 Cl
4.824 4.824 4.824 Cl
1.608 1.608 1.608 F
1.608 4.824 4.824 F
4.824 1.608 4.824 F
4.824 4.824 1.608 F
```

***

Entry 2:
Here is a relaxed structure of Pu4Cl3F7 from Alexandria via LeMat-Bulk. Energies are from PBE.

## Properties
The uncorrected formation energy is -3885 kJ/mol of formula units. The symmetry is C2/m. As for the density of states at the Fermi level: 3.154 states/eV/atom.

```
Pu4Cl3F7
1.0
8.099 -2.018 0.000
8.099 2.018 0.000
-5.416 0.000 9.274
Pu Cl F
4 3 7
Cartesian
-0.909 0.000 2.064 Pu
0.080 0.000 6.117 Pu
10.701 0.000 3.157 Pu
11.691 0.000 7.210 Pu
-2.708 0.000 4.637 Cl
3.053 0.000 1.396 Cl
7.729 0.000 7.878 Cl
0.000 0.000 0.000 F
0.801 0.000 3.838 F
2.160 0.000 7.162 F
6.038 0.000 1.906 F
4.743 0.000 7.368 F
8.622 0.000 2.112 F
9.980 0.000 5.436 F
```

***

Entry 3:
Here is a relaxed structure of Pu2ClF2 from Alexandria via LeMat-Bulk. Energies are from PBE.

## Properties
The uncorrected formation energy is -994 kJ/mol of formula units. The symmetry is C2/m. As for the density of states at the Fermi level: 1.270 states/eV/atom.

```
Pu2ClF2
1.0
8.141 -1.702 0.000
8.141 1.702 0.000
-0.088 0.000 7.436
Pu Cl F
4 2 4
Cartesian
0.474 0.000 2.563 Pu
5.907 0.000 4.113 Pu
10.288 0.000 3.323 Pu
15.721 0.000 4.873 Pu
2.557 0.000 0.943 Cl
13.638 0.000 6.492 Cl
3.373 0.000 4.429 F
7.137 0.000 1.828 F
9.058 0.000 5.608 F
12.822 0.000 3.007 F
```

***

Entry 4:
Here is a relaxed structure of Pu3Cl3F5 from Alexandria via LeMat-Bulk. Energies are from PBE.

## Properties
The uncorrected formation energy is -3088 kJ/mol of formula units. The symmetry is P-62m. As for the density of states at the Fermi level: 3.007 states/eV/atom.

```
Pu3Cl3F5
1.0
7.414 0.000 0.000
-3.707 6.421 0.000
0.000 0.000 5.476
Pu Cl F
3 3 5
Cartesian
-2.391 4.141 0.000 Pu
1.317 2.280 0.000 Pu
4.781 0.000 0.000 Pu
-2.446 4.236 2.738 Cl
1.261 2.184 2.738 Cl
4.892 0.000 2.738 Cl
-1.025 1.776 0.000 F
2.051 0.000 0.000 F
0.000 4.281 0.000 F
3.707 2.140 0.000 F
2.682 4.645 0.000 F
```

***

Entry 5:
Here is a relaxed structure of Pu2Cl3F from Alexandria via LeMat-Bulk. Energies are from PBE.

## Properties
The uncorrected formation energy is -1131 kJ/mol of formula units. The offset from the most stable computed form is 14.2 kJ/mol of atoms. The symmetry is Cmmm. As for the density of states at the Fermi level: 3.767 states/eV/atom.

```
Pu2Cl3F
1.0
4.350 0.000 0.000
0.000 18.156 0.000
0.000 0.000 3.636
Pu Cl F
4 6 2
Cartesian
0.000 1.816 0.000 Pu
0.000 16.340 0.000 Pu
2.175 7.262 0.000 Pu
2.175 10.894 0.000 Pu
0.000 6.110 1.818 Cl
0.000 9.078 0.000 Cl
0.000 12.047 1.818 Cl
2.175 0.000 0.000 Cl
2.175 2.969 1.818 Cl
2.175 15.188 1.818 Cl
0.000 0.000 1.818 F
2.175 9.078 1.818 F
```

***

Entry 6:
Here is a relaxed structure of Pu2ClF from Alexandria via LeMat-Bulk. Energies are from PBE.

## Properties
The uncorrected formation energy is -559 kJ/mol of formula units. The offset from the most stable computed form is 0.0 kJ/mol of atoms. The symmetry is R-3m. As for the density of states at the Fermi level: 3.316 states/eV/atom.

```
Pu2ClF
1.0
3.434 0.000 0.000
-1.717 2.974 0.000
0.000 0.000 24.713
Pu Cl F
6 3 3
Cartesian
0.000 0.000 6.009 Pu
0.000 0.000 18.704 Pu
0.000 1.983 10.467 Pu
0.000 1.983 22.484 Pu
1.717 0.991 2.229 Pu
1.717 0.991 14.247 Pu
0.000 0.000 0.000 Cl
0.000 1.983 16.476 Cl
1.717 0.991 8.238 Cl
0.000 0.000 12.357 F
0.000 1.983 4.119 F
1.717 0.991 20.594 F
```